Entry 1:
TeCl2 | PBE | relaxed

Cell: 3.807 8.094 14.450 Å, 90.00 90.00 90.00°
Space group Fmmm (No. 69)
Asymmetric unit:
Te (0.000, 0.000, 0.000)
Cl (0.000, 0.000, 0.373)

## Properties
* energy: -2.5841 eV per atom
* V: 37.11 A^3/atom

=====

Entry 2:
TeCl | PBE | relaxed

Cell: 3.337 3.337 5.295 Å, 90.00 90.00 90.00°
Space group P4/mmm (No. 123)
Asymmetric unit:
Te (0.000, 0.000, 0.000)
Cl (0.000, 0.000, 0.500)

## Properties
* energy: -2.6778 eV per atom
* V: 29.48 A^3/atom